A plane-wave DFT calculation with GGA-PBE was carried out for crystalline MgPd2N2 at its relaxed geometry.

a = 5.0847 Å, b = 5.0847 Å, c = 5.0847 Å
α = 133.89°, β = 133.89°, γ = 67.27°
Atoms (fractional coordinates):
Mg1 0.0000 0.0000 0.0000
Pd1 0.2500 0.7500 0.5000
Pd2 0.7500 0.2500 0.5000
N1 0.4282 0.4282 0.0000
N2 0.5718 0.5718 0.0000

## Properties
**Energy above the most stable polymorph in this dataset**: 0 meV per atom
**Spin magnetization**: 0.00 μB/f.u.
**Electronic total energy**: -26.675 eV/cell
**Formation energy from raw total energies**: 391 meV per atom

A plane-wave DFT calculation with GGA-PBE was carried out for crystalline MgPb2Se at its relaxed geometry.

a = 6.1352 Å, b = 6.1352 Å, c = 6.1352 Å
α = 136.59°, β = 136.59°, γ = 63.07°
Atoms (fractional coordinates):
Mg1 0.0000 0.0000 0.0000
Pb1 0.2500 0.7500 0.5000
Pb2 0.7500 0.2500 0.5000
Se1 0.5000 0.5000 0.0000

## Properties
**Spin magnetization**: 0.00 μB/f.u.
**Electronic total energy**: -12.947 eV/cell
**Formation energy from raw total energies**: -113 meV per atom

A plane-wave DFT calculation with GGA-PBE was carried out for crystalline KSrCo at its relaxed geometry.

a = 5.4384 Å, b = 5.4384 Å, c = 5.4384 Å
α = 60.00°, β = 60.00°, γ = 60.00°
Atoms (fractional coordinates):
K1 0.0000 0.0000 0.0000
Sr1 0.5000 0.5000 0.5000
Co1 0.7500 0.7500 0.7500

## Properties
**Energy above the most stable polymorph in this dataset**: 181 meV per atom
**Spin magnetization**: 1.49 μB/f.u.
**Electronic total energy**: -7.284 eV/cell
**Formation energy from the elements**: 0.867 eV/atom

A plane-wave DFT calculation with GGA-PBE was carried out for crystalline Zn2ReF at its relaxed geometry.

a = 4.3869 Å, b = 4.3869 Å, c = 4.3869 Å
α = 60.00°, β = 60.00°, γ = 60.00°
Atoms (fractional coordinates):
Zn1 0.2500 0.2500 0.2500
Zn2 0.7500 0.7500 0.7500
Re1 0.0000 0.0000 0.0000
F1 0.5000 0.5000 0.5000

## Properties
**Energy above the most stable polymorph in this dataset**: 244 meV per atom
**Spin magnetization**: 2.27 μB/f.u.
**Electronic total energy**: -15.056 eV/cell
**Formation energy from raw total energies**: 453 meV per atom

A plane-wave DFT calculation with GGA-PBE was carried out for crystalline FeCo at its relaxed geometry.

a = 6.1930 Å, b = 5.6425 Å, c = 4.3751 Å
α = 75.18°, β = 61.74°, γ = 43.08°
Atoms (fractional coordinates):
Fe1 0.1244 0.1244 0.8756
Fe2 0.2500 0.2500 0.2500
Fe3 0.7500 0.7500 0.7500
Fe4 0.8756 0.8756 0.1244
Co1 0.0000 0.0000 0.5000
Co2 0.3789 0.3789 0.6211
Co3 0.5000 0.5000 0.0000
Co4 0.6211 0.6211 0.3789

## Properties
**Spin magnetization**: 4.12 μB/f.u.
**Electronic total energy**: -61.848 eV/cell
**Formation energy from the elements**: 0.053 eV/atom